VASP calculation (PBE) on crystalline Cs2GeSeBr6 at its relaxed geometry. Values from VASP.

Quantum ESPRESSO input file:
```
&SYSTEM
  ibrav = 0, nat = 10, ntyp = 4
/
ATOMIC_SPECIES
Br 79.90 Br.upf
Ge 72.64 Ge.upf
Se 78.96 Se.upf
Cs 132.91 Cs.upf
ATOMIC_POSITIONS angstrom
Br -0.1656 -0.3280 6.0418
Br 3.8872 -3.0610 3.4869
Br 2.8132 -2.5618 7.2029
Br 0.9084 -0.8272 2.3259
Br 5.9277 -0.3293 9.7554
Br 3.4453 0.5031 4.9271
Ge 1.8608 -1.6945 4.7644
Se 0.0000 0.0000 0.0000
Cs 6.6662 -1.2480 6.0933
Cs 2.7069 1.4218 8.5892
CELL_PARAMETERS angstrom
-2.0985 0.9753 7.2603
5.8200 -4.3644 2.2685
5.6515 3.5629 5.1537
```

Space-group type: I4/mmm
Fermi-level density of states (states/eV/cell): 0.081
Uncorrected formation energy (eV/atom): -0.893